## CaBeAl2V (PBE)

Data for CaBeAl2V after structural relaxation.

Lattice parameters (Å, degrees): 5.202 4.463 5.202 90.00 90.00 90.00
Fractional positions:
V1 0.000 0.500 0.000
Ca1 0.000 0.000 0.000
Al1 0.000 0.000 0.500
Al2 0.500 0.000 0.000
Be1 0.500 0.500 0.500

total magnetization	0.00	μB/atom
theoretical density	2.1	g/cm3
ΔH_f (0 K)	1007	kJ/mol of formula units

***

## CaBe2AlV (PBE)

Data for CaBe2AlV after structural relaxation.

Lattice parameters (Å, degrees): 4.426 4.811 4.426 90.00 90.00 90.00
Each line ends with the local moment (μB).
Fractional positions:
Be1 0.000 0.000 0.500  -0.05
Be2 0.500 0.000 0.000  -0.05
Al1 0.000 0.000 0.000  0.02
V1 0.000 0.500 0.000  2.34
Ca1 0.500 0.500 0.500  0.05

total magnetization	0.55	μB/atom
theoretical density	2.4	g/cm3
ΔH_f (0 K)	361	kJ/mol of formula units

***

## BeAl3Cd (PBE)

Data for BeAl3Cd after structural relaxation.

Lattice parameters (Å, degrees): 4.513 4.513 4.513 90.00 90.00 90.00
Fractional positions:
Al1 0.000 0.000 0.500
Al2 0.000 0.500 0.000
Al3 0.500 0.000 0.000
Be1 0.000 0.000 0.000
Cd1 0.500 0.500 0.500

total magnetization	0.00	μB/atom
theoretical density	3.7	g/cm3
ΔH_f (0 K)	183	kJ/mol of formula units
energy relative to the lowest polymorph listed for this composition	0.000	eV/atom

***

## Be4AlCd (PBE)

Data for Be4AlCd after structural relaxation.

Lattice parameters (Å, degrees): 4.605 4.605 4.605 60.00 60.00 60.00
Fractional positions:
Cd1 0.750 0.750 0.750
Be1 0.373 0.373 0.880
Be2 0.373 0.880 0.373
Be3 0.880 0.373 0.373
Be4 0.373 0.373 0.373
Al1 0.000 0.000 0.000

total magnetization	0.00	μB/atom
theoretical density	4.2	g/cm3
ΔH_f (0 K)	129	kJ/mol of formula units

***

## Be2AlCd (PBE)

Data for Be2AlCd after structural relaxation.

Lattice parameters (Å, degrees): 5.217 5.217 5.217 150.81 114.57 73.21
Fractional positions:
Al1 0.250 0.750 0.500
Be1 0.009 0.009 0.000
Be2 0.491 0.491 0.000
Cd1 0.750 0.250 0.500

total magnetization	0.00	μB/atom
theoretical density	4.2	g/cm3
ΔH_f (0 K)	193	kJ/mol of formula units
energy relative to the lowest polymorph listed for this composition	0.193	eV/atom

***

## Be2AlCd (PBE)

Data for Be2AlCd after structural relaxation.

Lattice parameters (Å, degrees): 8.260 8.260 8.260 19.84 19.84 19.84
Fractional positions:
Cd1 0.250 0.250 0.250
Be1 0.004 0.004 0.004
Be2 0.496 0.496 0.496
Al1 0.750 0.750 0.750

total magnetization	0.00	μB/atom
theoretical density	4.6	g/cm3
ΔH_f (0 K)	158	kJ/mol of formula units
energy relative to the lowest polymorph listed for this composition	0.101	eV/atom

***

## Be2AlCd (PBE)

Data for Be2AlCd after structural relaxation.

Lattice parameters (Å, degrees): 3.909 3.910 3.706 90.00 90.00 90.00
Fractional positions:
Al1 0.000 0.500 0.500
Cd1 0.500 0.000 0.500
Be1 0.500 0.500 0.000
Be2 0.000 0.000 0.000

total magnetization	0.00	μB/atom
theoretical density	4.6	g/cm3
ΔH_f (0 K)	178	kJ/mol of formula units
energy relative to the lowest polymorph listed for this composition	0.152	eV/atom

***

## Be2AlCd (PBE)

Data for Be2AlCd after structural relaxation.

Lattice parameters (Å, degrees): 2.613 3.331 6.589 90.00 90.00 90.00
Fractional positions:
Cd1 0.000 0.000 0.462
Al1 0.500 0.500 0.808
Be1 0.500 0.500 0.188
Be2 0.000 0.000 0.041

total magnetization	0.00	μB/atom
theoretical density	4.6	g/cm3
ΔH_f (0 K)	138	kJ/mol of formula units
energy relative to the lowest polymorph listed for this composition	0.049	eV/atom

***

## Be2AlCd (PBE)

Data for Be2AlCd after structural relaxation.

Lattice parameters (Å, degrees): 3.854 3.146 4.884 71.25 90.00 90.00
Fractional positions:
Cd1 0.000 0.465 0.443
Be1 0.500 0.065 0.244
Be2 0.000 0.191 0.993
Al1 0.500 0.779 0.820

total magnetization	0.00	μB/atom
theoretical density	4.7	g/cm3
ΔH_f (0 K)	119	kJ/mol of formula units
energy relative to the lowest polymorph listed for this composition	0.000	eV/atom

***

## BeAl3Cd (PBE)

Data for BeAl3Cd after structural relaxation.

Lattice parameters (Å, degrees): 5.039 5.039 5.039 90.00 90.00 90.00
Fractional positions:
Be1 0.500 0.500 0.500
Cd1 0.000 0.000 0.000
Al1 0.000 0.500 0.000
Al2 0.500 0.000 0.000
Al3 0.000 0.000 0.500

total magnetization	0.00	μB/atom
theoretical density	2.6	g/cm3
ΔH_f (0 K)	583	kJ/mol of formula units
energy relative to the lowest polymorph listed for this composition	0.829	eV/atom

***

## Be2AlCd (PBE)

Data for Be2AlCd after structural relaxation.

Lattice parameters (Å, degrees): 6.100 6.100 6.100 154.61 142.38 45.94
Fractional positions:
Be1 0.921 0.921 0.000
Be2 0.757 0.257 0.500
Cd1 0.544 0.544 0.000
Al1 0.278 0.778 0.500

total magnetization	0.00	μB/atom
theoretical density	4.4	g/cm3
ΔH_f (0 K)	131	kJ/mol of formula units
energy relative to the lowest polymorph listed for this composition	0.033	eV/atom

***

## BeAl4Cd (PBE)

Data for BeAl4Cd after structural relaxation.

Lattice parameters (Å, degrees): 5.325 5.325 5.325 60.00 60.00 60.00
Fractional positions:
Al1 0.873 0.376 0.376
Al2 0.376 0.376 0.376
Al3 0.376 0.376 0.873
Al4 0.376 0.873 0.376
Be1 0.750 0.750 0.750
Cd1 0.000 0.000 0.000

total magnetization	0.00	μB/atom
theoretical density	3.6	g/cm3
ΔH_f (0 K)	252	kJ/mol of formula units

***

Question: total magnetization of number 5 (Be2AlCd)?
Answer: 0.00 μB/atom

***

Question: Which formula does entry 9 have?
Answer: Be2AlCd